Er4Si2S3O7 after structural relaxation, computed with PBEsol.

The structure in CIF format:
```
data_Er4Si2S3O7
_cell_length_a 10.540
_cell_length_b 10.540
_cell_length_c 10.540
_cell_angle_alpha 101.17
_cell_angle_beta 113.78
_cell_angle_gamma 113.78
_space_group_name_H-M_alt 'P 1'
_space_group_IT_number 1
_space_group_name_Hall 'P 1'
loop_
_atom_site_label
_atom_site_fract_x
_atom_site_fract_y
_atom_site_fract_z
Er1 0.154 0.577 0.077
Er2 0.000 0.827 0.173
Er3 0.000 0.173 0.827
Er4 0.846 0.923 0.423
Er5 0.346 0.173 0.173
Er6 0.500 0.923 0.077
Er7 0.500 0.577 0.423
Er8 0.654 0.827 0.827
Er9 0.235 0.534 0.770
Er10 0.765 0.534 0.299
Er11 0.765 0.230 0.466
Er12 0.265 0.049 0.784
Er13 0.735 0.520 0.784
Er14 0.735 0.216 0.951
Er15 0.265 0.216 0.480
Er16 0.235 0.701 0.466
Si1 0.875 0.780 0.655
Si2 0.125 0.780 0.905
Si3 0.125 0.345 0.220
Si4 0.625 0.655 0.030
Si5 0.375 0.405 0.030
Si6 0.375 0.970 0.345
Si7 0.625 0.970 0.595
Si8 0.875 0.095 0.220
S1 0.000 0.000 0.000
S2 0.500 0.750 0.250
S3 0.500 0.250 0.750
S4 0.000 0.500 0.500
S5 0.395 0.875 0.770
S6 0.395 0.520 0.625
S7 0.605 0.230 0.125
S8 0.605 0.375 0.480
S9 0.105 0.875 0.480
S10 0.105 0.230 0.625
S11 0.895 0.520 0.125
S12 0.895 0.375 0.770
O1 0.000 0.276 0.276
O2 0.500 0.026 0.526
O3 0.500 0.474 0.974
O4 0.000 0.724 0.724
O5 0.235 0.702 0.937
O6 0.765 0.702 0.466
O7 0.765 0.063 0.298
O8 0.265 0.216 0.952
O9 0.735 0.687 0.952
O10 0.735 0.048 0.784
O11 0.265 0.048 0.313
O12 0.235 0.534 0.298
O13 0.484 0.042 0.274
O14 0.516 0.790 0.557
O15 0.516 0.726 0.958
O16 0.268 0.307 0.292
O17 0.732 0.024 0.040
O18 0.732 0.708 0.693
O19 0.268 0.960 0.976
O20 0.484 0.443 0.210
O21 0.016 0.708 0.976
O22 0.984 0.960 0.693
O23 0.984 0.024 0.292
O24 0.232 0.443 0.958
O25 0.768 0.726 0.210
O26 0.768 0.042 0.557
O27 0.232 0.790 0.274
O28 0.016 0.307 0.040
```

Summary:
Raw total energy: -8.00 eV/atom
Space-group type: I4_1/amd (141)
Uncorrected formation energy: -46.8 eV/f.u.
D(E_F): 0.000 states/eV per cell